# K5Zn PBEsol relaxed
data_K5Zn
_cell_length_a 15.274
_cell_length_b 4.417
_cell_length_c 10.933
_cell_angle_alpha 90.00
_cell_angle_beta 113.38
_cell_angle_gamma 90.00
_symmetry_space_group_name_H-M 'C 1 m 1'
_symmetry_Int_Tables_number 8
_symmetry_space_group_name_Hall 'C -2y'
loop_
_atom_site_label
_atom_site_fract_x
_atom_site_fract_y
_atom_site_fract_z
K1 0.000 0.000 0.000
K2 0.041 0.000 0.401
K3 0.167 0.500 0.777
K4 0.292 0.000 0.155
K5 0.334 0.000 0.557
Zn1 0.167 0.500 0.279
# - density of states at the Fermi level (states/eV/f.u.) = 3.94
# - volume (Å³ per atom) = 56.42
# - E_form (eV/f.u.) = 0.68
# - magnetic moment (μB/f.u.) = 0.0